Computed, not measured: an optimized crystal structure of Pm4NdSm5 at the GGA-PBE level of DFT.

Calculated values
Its total energy is -4.496 eV/atom. Its energy of formation is 2.40 eV per formula unit. The symmetry is I4mm, No. 107. For the total magnetization, the calculation gives 0.00 μB per formula unit. Its calculated volume is 34.93 Å³/atom.

Structure (CIF):
```
data_Pm4NdSm5
_cell_length_a 8.123
_cell_length_b 8.123
_cell_length_c 8.123
_cell_angle_alpha 98.35
_cell_angle_beta 98.35
_cell_angle_gamma 135.19
_symmetry_space_group_name_H-M 'P 1'
_symmetry_Int_Tables_number 1
loop_
_symmetry_equiv_pos_as_xyz
'x,y,z'
loop_
_atom_site_label
_atom_site_fract_x
_atom_site_fract_y
_atom_site_fract_z
Pm1 0.000 0.326 0.326
Pm2 0.000 0.674 0.674
Pm3 0.326 0.000 0.326
Pm4 0.674 0.000 0.674
Nd1 0.751 0.751 0.000
Sm1 0.217 0.217 0.000
Sm2 0.292 0.292 0.621
Sm3 0.292 0.670 0.000
Sm4 0.670 0.292 0.000
Sm5 0.670 0.670 0.379
```